Entry 1:
VOsRu6 | PBE | relaxed

Properties
Space group: No. 123

Cell: 3.8374 5.3907 5.3907 Å, 89.98 90.00 90.00°
Last column: nearest neighbours and their distance in Å.
Element x y z (fractional)
Ru 0.0000 0.3756 0.1255  8 Ru 2.69-2.70, 2 Os 2.70, 2 V 2.71
V 0.5000 0.1250 0.8750  12 Ru 2.70-2.71
Ru 0.5000 0.6249 0.8750  2 Os 2.70, 2 V 2.70, 8 Ru 2.70
Ru 0.0000 0.8745 0.6244  8 Ru 2.69-2.70, 2 Os 2.70, 2 V 2.71
Ru 0.5000 0.1250 0.3751  2 Os 2.70, 2 V 2.70, 8 Ru 2.70
Os 0.5000 0.6250 0.3750  12 Ru 2.70
Ru 0.0000 0.3756 0.6244  8 Ru 2.69-2.70, 2 Os 2.70, 2 V 2.71
Ru 0.0000 0.8744 0.1256  8 Ru 2.69-2.70, 2 Os 2.70, 2 V 2.71

Entry 2:
LiNbFeTe | PBE | relaxed

Properties
Energy above the most stable polymorph in this dataset, eV/atom: 0.078
Space group: No. 6
Uncorrected formation energy, eV/atom: 0.000

Cell: 3.5435 3.8732 5.3829 Å, 90.00 109.20 90.00°
Last column: nearest neighbours and their distance in Å.
Element x y z (fractional)
Li 0.7977 0.5000 0.6416  1 Fe 2.58, 4 Te 2.74
Fe 0.0492 0.5000 0.1499  1 Li 2.58, 2 Te 2.59, 4 Nb 2.67-2.68
Nb 0.5005 0.0000 0.0476  4 Fe 2.67-2.68, 3 Te 2.84-2.86
Te 0.2210 0.0000 0.4882  2 Fe 2.59, 4 Li 2.74, 3 Nb 2.84-2.86

Entry 3:
CsScSbPt2 | PBE | relaxed

Properties
Space group: No. 123
Uncorrected formation energy, eV/atom: 0.185

Cell: 5.1979 5.5654 5.1979 Å, 90.00 90.00 90.00°
Last column: nearest neighbours and their distance in Å.
Element x y z (fractional)
Pt 0.5000 0.0000 0.0000  2 Sc 2.60
Sb 0.0000 0.5000 0.0000  2 Sc 2.78
Pt 0.0000 0.0000 0.5000  2 Sc 2.60
Sc 0.0000 0.0000 0.0000  4 Pt 2.60, 2 Sb 2.78
Cs 0.5000 0.5000 0.5000  4 Sb 3.68, 8 Pt 3.81

Entry 4:
Ga2ReHg | PBE | relaxed

Properties
Space group: No. 122

Cell: 7.4588 7.4588 5.9804 Å, 51.42 51.42 90.00°
Last column: nearest neighbours and their distance in Å.
Element x y z (fractional)
Hg 0.7500 0.2500 0.5000  2 Re 2.82, 4 Ga 2.96
Re 0.2500 0.7500 0.5000  4 Ga 2.52, 2 Hg 2.82
Ga 0.5816 0.1250 0.2500  2 Re 2.52
Ga 0.8750 0.8316 0.7500  2 Re 2.52
Re 0.5000 0.5000 0.0000  4 Ga 2.52, 2 Hg 2.82
Hg 0.0000 0.0000 0.0000  2 Re 2.82, 4 Ga 2.96
Ga 0.3750 0.4184 0.7500  2 Re 2.52
Ga 0.1684 0.6250 0.2500  2 Re 2.52

Number 1: E_tot -9.498 eV per atom. Number 2: E_tot -5.897 eV per atom. Number 3: E_tot -4.493 eV per atom. Number 4: E_tot -4.035 eV per atom.